Entry 1:
# La2TbPr5Sm | Alexandria via LeMat-Bulk | PBE | relaxed
# Electronic total energy = -0.1671 hartree per atom
# SG = No. 140
data_La2TbPr5Sm
_space_group_name_H-M_alt 'P 1'
_space_group_IT_number 1
_cell_length_a 8.800
_cell_length_b 8.800
_cell_length_c 10.408
_cell_angle_alpha 115.01
_cell_angle_beta 115.01
_cell_angle_gamma 90.00
loop_
_space_group_symop_operation_xyz
'x,y,z'
loop_
_atom_site_label
_atom_site_fract_x
_atom_site_fract_y
_atom_site_fract_z
_atom_site_occupancy
Tb1 0.250 0.750 0.500 1
Pr1 0.425 0.362 0.287 1
Pr2 0.575 0.638 0.713 1
La1 0.620 0.120 0.000 1
Pr3 0.638 0.138 0.713 1
Pr4 0.138 0.075 0.713 1
Pr5 0.075 0.575 0.713 1
Pr6 0.862 0.925 0.287 1
Pr7 0.500 0.500 0.000 1
Pr8 0.000 0.000 0.000 1
Sm1 0.250 0.250 0.500 1
La2 0.380 0.880 0.000 1
La3 0.880 0.620 0.000 1
Pr9 0.925 0.425 0.287 1
Sm2 0.750 0.750 0.500 1
Tb2 0.750 0.250 0.500 1
Pr10 0.362 0.862 0.287 1
La4 0.120 0.380 0.000 1

=====

Entry 2:
# NaSn | Alexandria via LeMat-Bulk | PBE | relaxed
# Electronic total energy = -0.1041 hartree per atom
# SG = No. 51
data_NaSn
_space_group_name_H-M_alt 'P 1'
_space_group_IT_number 1
_cell_length_a 5.579
_cell_length_b 3.271
_cell_length_c 5.858
_cell_angle_alpha 90.00
_cell_angle_beta 90.00
_cell_angle_gamma 90.00
loop_
_space_group_symop_operation_xyz
'x,y,z'
loop_
_atom_site_label
_atom_site_fract_x
_atom_site_fract_y
_atom_site_fract_z
_atom_site_occupancy
Na1 0.750 0.000 0.854 1
Sn1 0.250 0.500 0.630 1
Na2 0.250 0.000 0.146 1
Sn2 0.750 0.500 0.370 1

=====

Entry 3:
# MoBr | Alexandria via LeMat-Bulk | PBE | relaxed
# Energy relative to the lowest polymorph listed for this composition = 638 meV/atom
# SG = No. 70
data_MoBr
_space_group_name_H-M_alt 'P 1'
_space_group_IT_number 1
_cell_length_a 8.259
_cell_length_b 10.803
_cell_length_c 8.529
_cell_angle_alpha 90.00
_cell_angle_beta 90.00
_cell_angle_gamma 90.00
loop_
_space_group_symop_operation_xyz
'x,y,z'
loop_
_atom_site_label
_atom_site_fract_x
_atom_site_fract_y
_atom_site_fract_z
_atom_site_occupancy
Mo1 0.500 0.397 0.500 1
Mo2 0.000 0.603 0.000 1
Mo3 0.750 0.147 0.750 1
Br1 0.697 0.500 0.000 1
Br2 0.947 0.750 0.750 1
Mo4 0.250 0.147 0.250 1
Mo5 0.000 0.897 0.500 1
Br3 0.303 0.000 0.500 1
Mo6 0.500 0.103 0.000 1
Br4 0.303 0.500 0.000 1
Mo7 0.250 0.353 0.250 1
Br5 0.553 0.750 0.750 1
Mo8 0.500 0.897 0.000 1
Mo9 0.750 0.353 0.750 1
Mo10 0.250 0.647 0.750 1
Br6 0.197 0.500 0.500 1
Br7 0.803 0.000 0.000 1
Mo11 0.000 0.103 0.500 1
Br8 0.197 0.000 0.000 1
Br9 0.553 0.250 0.250 1
Br10 0.803 0.500 0.500 1
Br11 0.053 0.750 0.250 1
Br12 0.947 0.250 0.250 1
Mo12 0.500 0.603 0.500 1
Mo13 0.000 0.397 0.000 1
Br13 0.053 0.250 0.750 1
Br14 0.697 0.000 0.500 1
Br15 0.447 0.750 0.250 1
Br16 0.447 0.250 0.750 1
Mo14 0.750 0.853 0.250 1
Mo15 0.250 0.853 0.750 1
Mo16 0.750 0.647 0.250 1

=====

Entry 4:
# TlCo3Cl | Alexandria via LeMat-Bulk | PBE | relaxed
# Energy relative to the lowest polymorph listed for this composition = 840 meV/atom
# SG = No. 221
data_TlCo3Cl
_space_group_name_H-M_alt 'P 1'
_space_group_IT_number 1
_cell_length_a 4.976
_cell_length_b 4.976
_cell_length_c 4.976
_cell_angle_alpha 90.00
_cell_angle_beta 90.00
_cell_angle_gamma 90.00
loop_
_space_group_symop_operation_xyz
'x,y,z'
loop_
_atom_site_label
_atom_site_fract_x
_atom_site_fract_y
_atom_site_fract_z
_atom_site_occupancy
Tl1 0.000 0.000 0.000 1
Cl1 0.500 0.500 0.500 1
Co1 0.500 0.000 0.000 1
Co2 0.000 0.000 0.500 1
Co3 0.000 0.500 0.000 1

=====

Entry 5:
# Li5Ca2Hg3 | Alexandria via LeMat-Bulk | PBE | relaxed
# Electronic total energy = -0.0636 hartree per atom
# SG = No. 72
data_Li5Ca2Hg3
_space_group_name_H-M_alt 'P 1'
_space_group_IT_number 1
_cell_length_a 6.273
_cell_length_b 9.132
_cell_length_c 9.132
_cell_angle_alpha 82.42
_cell_angle_beta 69.91
_cell_angle_gamma 69.91
loop_
_space_group_symop_operation_xyz
'x,y,z'
loop_
_atom_site_label
_atom_site_fract_x
_atom_site_fract_y
_atom_site_fract_z
_atom_site_occupancy
Hg1 0.129 0.220 0.522 1
Ca1 0.120 0.638 0.122 1
Li1 0.628 0.743 0.000 1
Li2 0.750 0.500 0.500 1
Ca2 0.620 0.122 0.638 1
Hg2 0.750 0.000 0.000 1
Li3 0.489 0.261 0.261 1
Ca3 0.380 0.878 0.362 1
Li4 0.872 0.000 0.257 1
Hg3 0.871 0.780 0.478 1
Li5 0.511 0.739 0.739 1
Hg4 0.250 0.000 0.000 1
Li6 0.989 0.261 0.261 1
Li7 0.250 0.500 0.500 1
Li8 0.011 0.739 0.739 1
Hg5 0.371 0.478 0.780 1
Ca4 0.880 0.362 0.878 1
Hg6 0.629 0.522 0.220 1
Li9 0.372 0.257 0.000 1
Li10 0.128 0.000 0.743 1

=====

Entry 6:
# LaGe2F | Alexandria via LeMat-Bulk | PBE | relaxed
# Electronic total energy = -0.1677 hartree per atom
# SG = No. 225
data_LaGe2F
_space_group_name_H-M_alt 'P 1'
_space_group_IT_number 1
_cell_length_a 4.968
_cell_length_b 4.968
_cell_length_c 4.968
_cell_angle_alpha 60.00
_cell_angle_beta 60.00
_cell_angle_gamma 60.00
loop_
_space_group_symop_operation_xyz
'x,y,z'
loop_
_atom_site_label
_atom_site_fract_x
_atom_site_fract_y
_atom_site_fract_z
_atom_site_occupancy
La1 0.500 0.500 0.500 1
Ge1 0.250 0.250 0.250 1
F1 0.000 0.000 0.000 1
Ge2 0.750 0.750 0.750 1

=====

Entry 7:
# CoHg2Se | Alexandria via LeMat-Bulk | PBE | relaxed
# Electronic total energy = -0.0819 hartree per atom
# SG = No. 216
data_CoHg2Se
_space_group_name_H-M_alt 'P 1'
_space_group_IT_number 1
_cell_length_a 4.851
_cell_length_b 4.851
_cell_length_c 4.851
_cell_angle_alpha 60.00
_cell_angle_beta 60.00
_cell_angle_gamma 60.00
loop_
_space_group_symop_operation_xyz
'x,y,z'
loop_
_atom_site_label
_atom_site_fract_x
_atom_site_fract_y
_atom_site_fract_z
_atom_site_occupancy
Hg1 0.250 0.250 0.250 1
Co1 0.500 0.500 0.500 1
Se1 0.750 0.750 0.750 1
Hg2 0.000 0.000 0.000 1

=====

Entry 8:
# TcTeAsSe2 | Alexandria via LeMat-Bulk | PBE | relaxed
# Energy relative to the lowest polymorph listed for this composition = 0 meV/atom
# SG = No. 123
data_TcTeAsSe2
_space_group_name_H-M_alt 'P 1'
_space_group_IT_number 1
_cell_length_a 4.817
_cell_length_b 4.817
_cell_length_c 5.024
_cell_angle_alpha 90.00
_cell_angle_beta 90.00
_cell_angle_gamma 90.00
loop_
_space_group_symop_operation_xyz
'x,y,z'
loop_
_atom_site_label
_atom_site_fract_x
_atom_site_fract_y
_atom_site_fract_z
_atom_site_occupancy
Tc1 0.000 0.000 0.000 1
Se1 0.500 0.000 0.000 1
As1 0.000 0.000 0.500 1
Te1 0.500 0.500 0.500 1
Se2 0.000 0.500 0.000 1

=====

Number 1: density of states at the Fermi level 29.27 states/eV/cell, calculated volume 646 Å³ per cell. Number 2: density of states at the Fermi level 1.03 states/eV/cell, calculated volume 107 Å³ per cell. Number 3: density of states at the Fermi level 19.99 states/eV/cell, calculated volume 761 Å³ per cell. Number 4: density of states at the Fermi level 8.94 states/eV/cell, calculated volume 123 Å³ per cell. Number 5: density of states at the Fermi level 9.00 states/eV/cell, calculated volume 461 Å³ per cell. Number 6: density of states at the Fermi level 0.52 states/eV/cell, calculated volume 87 Å³ per cell. Number 7: density of states at the Fermi level 6.46 states/eV/cell, calculated volume 81 Å³ per cell. Number 8: density of states at the Fermi level 4.91 states/eV/cell, calculated volume 117 Å³ per cell.